1.
A geometry-optimized AuBrOF2 structure, computed with PBE.

abc: 4.729 4.729 3.712
angles: 90.00 90.00 90.00
Positions (direct):
Au: 0.500 0.500 0.500
O: 0.000 0.000 0.500
Br: 0.000 0.000 0.000
F: 0.000 0.500 0.000
F: 0.500 0.000 0.000

Computed properties:
Formation energy (no corrections) ... 175 meV per atom
Polymorph energy (0 for the lowest one) ... 164.8 meV/atom
SG ... P4/mmm

***

2.
A geometry-optimized AuBrOF2 structure, computed with PBE.

abc: 4.282 4.282 4.218
angles: 90.00 90.00 90.00
Positions (direct):
Au: 0.000 0.000 0.000
O: 0.000 0.000 0.500
Br: 0.500 0.500 0.500
F: 0.000 0.500 0.000
F: 0.500 0.000 0.000

Computed properties:
Formation energy (no corrections) ... 10 meV per atom
Polymorph energy (0 for the lowest one) ... 0.0 meV/atom
SG ... P4/mmm

***

3.
A geometry-optimized AuBrO2F structure, computed with PBE.

abc: 4.156 4.156 4.247
angles: 90.00 90.00 90.00
Positions (direct):
Au: 0.000 0.000 0.000
O: 0.000 0.500 0.000
O: 0.500 0.000 0.000
Br: 0.500 0.500 0.500
F: 0.000 0.000 0.500

Computed properties:
Formation energy (no corrections) ... 430 meV per atom
SG ... P4/mmm

***

4.
A geometry-optimized AuBrO2F structure, computed with PBE.

abc: 3.771 3.771 5.800
angles: 90.00 90.00 90.00
Positions (direct):
Au: 0.500 0.500 0.500
O: 0.000 0.500 0.000
O: 0.500 0.000 0.000
Br: 0.000 0.000 0.000
F: 0.000 0.000 0.500

Computed properties:
Formation energy (no corrections) ... 462 meV per atom
SG ... P4/mmm

***

no.,total energy (eV/atom)
1,-2.555
2,-2.720
3,-2.917
4,-2.886